Entry from Alexandria: Na5ErMo4O16 after structural relaxation (PBE with a Hubbard U).

Geometry as POSCAR:
```
Na5ErMo4O16
1.0
-2.432 -6.852 6.847
9.557 -1.165 -2.654
-1.291 9.131 3.836
Na Er Mo O
10 2 8 32
direct
0.577 0.902 0.916
0.173 0.348 0.584
0.765 0.589 0.416
0.411 0.827 0.176
0.652 0.235 0.824
0.985 0.661 0.084
0.339 0.423 0.324
0.250 0.750 0.500
0.098 0.015 0.676
0.500 0.500 0.000
0.750 0.250 0.500
0.000 0.000 0.000
0.831 0.920 0.274
0.670 0.895 0.589
0.105 0.694 0.774
0.444 0.169 0.089
0.919 0.330 0.226
0.080 0.355 0.911
0.645 0.556 0.726
0.306 0.081 0.411
0.863 0.824 0.394
0.101 0.272 0.049
0.511 0.107 0.240
0.251 0.868 0.322
0.239 0.143 0.260
0.618 0.796 0.118
0.866 0.270 0.760
0.546 0.929 0.678
0.649 0.978 0.451
0.730 0.489 0.596
0.022 0.474 0.671
0.887 0.426 0.106
0.531 0.137 0.961
0.679 0.501 0.882
0.204 0.321 0.822
0.857 0.116 0.096
0.947 0.899 0.171
0.893 0.134 0.404
0.176 0.570 0.039
0.526 0.197 0.549
0.728 0.776 0.829
0.132 0.454 0.382
0.224 0.053 0.951
0.499 0.382 0.178
0.430 0.469 0.606
0.320 0.781 0.894
0.071 0.749 0.618
0.020 0.761 0.904
0.884 0.980 0.740
0.574 0.680 0.461
0.219 0.113 0.539
0.803 0.351 0.329
```

As for the raw total energy: -341.3 eV per cell. Its crystal system is tetragonal. The value obtained for the density of states at the Fermi level is 0.0 states/eV/cell.